# NaTaCdSe3, optimized geometry, DFT GGA-PBE
data_NaTaCdSe3
_cell_length_a 7.3791
_cell_length_b 7.3791
_cell_length_c 10.2143
_cell_angle_alpha 90.00
_cell_angle_beta 90.00
_cell_angle_gamma 150.68
_symmetry_space_group_name_H-M 'P 1'
_symmetry_Int_Tables_number 1
loop_
_symmetry_equiv_pos_as_xyz
'x,y,z'
loop_
_atom_site_label
_atom_site_fract_x
_atom_site_fract_y
_atom_site_fract_z
_atom_site_occupancy
Na1 0.2399 0.7601 0.7500 1
Na2 0.7601 0.2399 0.2500 1
Ta1 0.0000 0.0000 0.0000 1
Ta2 0.0000 0.0000 0.5000 1
Cd1 0.4588 0.5412 0.2500 1
Cd2 0.5412 0.4588 0.7500 1
Se1 0.0918 0.9082 0.2500 1
Se2 0.3663 0.6337 0.0312 1
Se3 0.3663 0.6337 0.4688 1
Se4 0.6337 0.3663 0.5312 1
Se5 0.6337 0.3663 0.9688 1
Se6 0.9082 0.0918 0.7500 1
# DFT total energy: -4.56 eV/atom
# Size of the total moment: 1.39 μB/f.u.

# Na2CdWSe4, optimized geometry, DFT GGA-PBE
data_Na2CdWSe4
_cell_length_a 7.0069
_cell_length_b 7.0069
_cell_length_c 6.8137
_cell_angle_alpha 119.07
_cell_angle_beta 119.07
_cell_angle_gamma 93.10
_symmetry_space_group_name_H-M 'P 1'
_symmetry_Int_Tables_number 1
loop_
_symmetry_equiv_pos_as_xyz
'x,y,z'
loop_
_atom_site_label
_atom_site_fract_x
_atom_site_fract_y
_atom_site_fract_z
_atom_site_occupancy
Na1 0.0000 0.0000 0.0000 1
Na2 0.7511 0.2489 0.5000 1
Cd1 0.2499 0.7501 0.5000 1
W1 0.5004 0.4996 0.0000 1
Se1 0.1760 0.4114 0.0228 1
Se2 0.3894 0.1531 0.5644 1
Se3 0.5886 0.8240 0.9772 1
Se4 0.8469 0.6106 0.4356 1
# DFT total energy: -4.31 eV/atom
# Size of the total moment: 1.91 μB/f.u.

# NaYCdSe3, optimized geometry, DFT GGA-PBE
data_NaYCdSe3
_cell_length_a 13.8196
_cell_length_b 4.1718
_cell_length_c 11.3092
_cell_angle_alpha 90.00
_cell_angle_beta 90.00
_cell_angle_gamma 90.00
_symmetry_space_group_name_H-M 'P 1'
_symmetry_Int_Tables_number 1
loop_
_symmetry_equiv_pos_as_xyz
'x,y,z'
loop_
_atom_site_label
_atom_site_fract_x
_atom_site_fract_y
_atom_site_fract_z
_atom_site_occupancy
Na1 0.2410 0.2500 0.0699 1
Na2 0.2590 0.7500 0.5699 1
Na3 0.7410 0.2500 0.4301 1
Na4 0.7590 0.7500 0.9301 1
Y1 0.0228 0.2500 0.3477 1
Y2 0.4772 0.7500 0.8477 1
Y3 0.5228 0.2500 0.1523 1
Y4 0.9772 0.7500 0.6523 1
Cd1 0.0139 0.7500 0.0996 1
Cd2 0.4861 0.2500 0.5996 1
Cd3 0.5139 0.7500 0.4004 1
Cd4 0.9861 0.2500 0.9004 1
Se1 0.1056 0.2500 0.5746 1
Se2 0.1070 0.7500 0.8791 1
Se3 0.1498 0.7500 0.2599 1
Se4 0.3502 0.2500 0.7599 1
Se5 0.3930 0.2500 0.3791 1
Se6 0.3944 0.7500 0.0746 1
Se7 0.6056 0.2500 0.9254 1
Se8 0.6070 0.7500 0.6209 1
Se9 0.6498 0.7500 0.2401 1
Se10 0.8502 0.2500 0.7401 1
Se11 0.8930 0.2500 0.1209 1
Se12 0.8944 0.7500 0.4254 1
# DFT total energy: -4.44 eV/atom
# Size of the total moment: 0.00 μB/f.u.

# NaYCdSe3, optimized geometry, DFT GGA-PBE
data_NaYCdSe3
_cell_length_a 8.0665
_cell_length_b 4.2468
_cell_length_c 17.4127
_cell_angle_alpha 90.00
_cell_angle_beta 90.00
_cell_angle_gamma 90.00
_symmetry_space_group_name_H-M 'P 1'
_symmetry_Int_Tables_number 1
loop_
_symmetry_equiv_pos_as_xyz
'x,y,z'
loop_
_atom_site_label
_atom_site_fract_x
_atom_site_fract_y
_atom_site_fract_z
_atom_site_occupancy
Na1 0.0584 0.2500 0.1957 1
Na2 0.4416 0.7500 0.6957 1
Na3 0.5584 0.2500 0.3043 1
Na4 0.9416 0.7500 0.8043 1
Y1 0.2303 0.2500 0.9626 1
Y2 0.2697 0.7500 0.4626 1
Y3 0.7303 0.2500 0.5374 1
Y4 0.7697 0.7500 0.0374 1
Cd1 0.0726 0.2500 0.6629 1
Cd2 0.4274 0.7500 0.1629 1
Cd3 0.5726 0.2500 0.8371 1
Cd4 0.9274 0.7500 0.3371 1
Se1 0.0105 0.2500 0.4247 1
Se2 0.1249 0.7500 0.0644 1
Se3 0.2296 0.2500 0.7934 1
Se4 0.2704 0.7500 0.2934 1
Se5 0.3751 0.2500 0.5644 1
Se6 0.4895 0.7500 0.9247 1
Se7 0.5105 0.2500 0.0753 1
Se8 0.6249 0.7500 0.4356 1
Se9 0.7296 0.2500 0.7066 1
Se10 0.7704 0.7500 0.2066 1
Se11 0.8751 0.2500 0.9356 1
Se12 0.9895 0.7500 0.5753 1
# DFT total energy: -4.39 eV/atom
# Size of the total moment: 0.00 μB/f.u.

# NaYCdSe3, optimized geometry, DFT GGA-PBE
data_NaYCdSe3
_cell_length_a 9.0767
_cell_length_b 9.0767
_cell_length_c 9.0800
_cell_angle_alpha 104.92
_cell_angle_beta 104.92
_cell_angle_gamma 26.19
_symmetry_space_group_name_H-M 'P 1'
_symmetry_Int_Tables_number 1
loop_
_symmetry_equiv_pos_as_xyz
'x,y,z'
loop_
_atom_site_label
_atom_site_fract_x
_atom_site_fract_y
_atom_site_fract_z
_atom_site_occupancy
Na1 0.1318 0.1318 0.0730 1
Na2 0.8682 0.8682 0.9270 1
Y1 0.1768 0.1768 0.5985 1
Y2 0.8232 0.8232 0.4015 1
Cd1 0.4847 0.4847 0.2794 1
Cd2 0.5153 0.5153 0.7206 1
Se1 0.0000 0.0000 0.5000 1
Se2 0.3240 0.3240 0.1851 1
Se3 0.3392 0.3392 0.6314 1
Se4 0.5000 0.5000 0.0000 1
Se5 0.6608 0.6608 0.3686 1
Se6 0.6760 0.6760 0.8149 1
# DFT total energy: -4.41 eV/atom
# Size of the total moment: 0.00 μB/f.u.

# NaYCdSe3, optimized geometry, DFT GGA-PBE
data_NaYCdSe3
_cell_length_a 11.1351
_cell_length_b 4.1628
_cell_length_c 13.7173
_cell_angle_alpha 90.00
_cell_angle_beta 90.00
_cell_angle_gamma 90.00
_symmetry_space_group_name_H-M 'P 1'
_symmetry_Int_Tables_number 1
loop_
_symmetry_equiv_pos_as_xyz
'x,y,z'
loop_
_atom_site_label
_atom_site_fract_x
_atom_site_fract_y
_atom_site_fract_z
_atom_site_occupancy
Na1 0.2173 0.2500 0.0054 1
Na2 0.2827 0.7500 0.5054 1
Na3 0.7173 0.2500 0.4946 1
Na4 0.7827 0.7500 0.9946 1
Y1 0.0137 0.7500 0.7416 1
Y2 0.4863 0.2500 0.2416 1
Y3 0.5137 0.7500 0.7584 1
Y4 0.9863 0.2500 0.2584 1
Cd1 0.2370 0.7500 0.2187 1
Cd2 0.2630 0.2500 0.7187 1
Cd3 0.7370 0.7500 0.2813 1
Cd4 0.7630 0.2500 0.7813 1
Se1 0.0386 0.7500 0.1170 1
Se2 0.0754 0.2500 0.6057 1
Se3 0.2362 0.2500 0.3401 1
Se4 0.2638 0.7500 0.8401 1
Se5 0.4246 0.7500 0.1057 1
Se6 0.4614 0.2500 0.6170 1
Se7 0.5386 0.7500 0.3830 1
Se8 0.5754 0.2500 0.8943 1
Se9 0.7362 0.2500 0.1599 1
Se10 0.7638 0.7500 0.6599 1
Se11 0.9246 0.7500 0.3943 1
Se12 0.9614 0.2500 0.8830 1
# DFT total energy: -4.43 eV/atom
# Size of the total moment: 0.00 μB/f.u.

# NaYCdSe3, optimized geometry, DFT GGA-PBE
data_NaYCdSe3
_cell_length_a 12.6276
_cell_length_b 4.1640
_cell_length_c 12.2727
_cell_angle_alpha 90.00
_cell_angle_beta 90.00
_cell_angle_gamma 90.00
_symmetry_space_group_name_H-M 'P 1'
_symmetry_Int_Tables_number 1
loop_
_symmetry_equiv_pos_as_xyz
'x,y,z'
loop_
_atom_site_label
_atom_site_fract_x
_atom_site_fract_y
_atom_site_fract_z
_atom_site_occupancy
Na1 0.1274 0.2500 0.0053 1
Na2 0.3726 0.7500 0.5053 1
Na3 0.6274 0.2500 0.4947 1
Na4 0.8726 0.7500 0.9947 1
Y1 0.0472 0.2500 0.6686 1
Y2 0.4528 0.7500 0.1686 1
Y3 0.5472 0.2500 0.8314 1
Y4 0.9528 0.7500 0.3314 1
Cd1 0.2342 0.2500 0.2846 1
Cd2 0.2658 0.7500 0.7846 1
Cd3 0.7342 0.2500 0.2154 1
Cd4 0.7658 0.7500 0.7154 1
Se1 0.0602 0.7500 0.8394 1
Se2 0.0799 0.2500 0.4247 1
Se3 0.2288 0.7500 0.1464 1
Se4 0.2712 0.2500 0.6464 1
Se5 0.4201 0.7500 0.9247 1
Se6 0.4398 0.2500 0.3394 1
Se7 0.5602 0.7500 0.6606 1
Se8 0.5799 0.2500 0.0753 1
Se9 0.7288 0.7500 0.3536 1
Se10 0.7712 0.2500 0.8536 1
Se11 0.9201 0.7500 0.5753 1
Se12 0.9398 0.2500 0.1606 1
# DFT total energy: -4.43 eV/atom
# Size of the total moment: 0.00 μB/f.u.

# NaYCdSe3, optimized geometry, DFT GGA-PBE
data_NaYCdSe3
_cell_length_a 12.6802
_cell_length_b 4.1604
_cell_length_c 12.2598
_cell_angle_alpha 90.00
_cell_angle_beta 90.00
_cell_angle_gamma 90.00
_symmetry_space_group_name_H-M 'P 1'
_symmetry_Int_Tables_number 1
loop_
_symmetry_equiv_pos_as_xyz
'x,y,z'
loop_
_atom_site_label
_atom_site_fract_x
_atom_site_fract_y
_atom_site_fract_z
_atom_site_occupancy
Na1 0.1264 0.2500 0.0059 1
Na2 0.3736 0.7500 0.5059 1
Na3 0.6264 0.2500 0.4941 1
Na4 0.8736 0.7500 0.9941 1
Y1 0.0478 0.2500 0.6681 1
Y2 0.4522 0.7500 0.1681 1
Y3 0.5478 0.2500 0.8319 1
Y4 0.9522 0.7500 0.3319 1
Cd1 0.2338 0.2500 0.2847 1
Cd2 0.2662 0.7500 0.7847 1
Cd3 0.7338 0.2500 0.2153 1
Cd4 0.7662 0.7500 0.7153 1
Se1 0.0612 0.7500 0.8392 1
Se2 0.0795 0.2500 0.4242 1
Se3 0.2291 0.7500 0.1461 1
Se4 0.2709 0.2500 0.6461 1
Se5 0.4205 0.7500 0.9242 1
Se6 0.4388 0.2500 0.3392 1
Se7 0.5612 0.7500 0.6608 1
Se8 0.5795 0.2500 0.0758 1
Se9 0.7291 0.7500 0.3539 1
Se10 0.7709 0.2500 0.8539 1
Se11 0.9205 0.7500 0.5758 1
Se12 0.9388 0.2500 0.1608 1
# DFT total energy: -4.43 eV/atom
# Size of the total moment: 0.00 μB/f.u.

# NaYCdSe3, optimized geometry, DFT GGA-PBE
data_NaYCdSe3
_cell_length_a 8.2348
_cell_length_b 4.2083
_cell_length_c 10.3549
_cell_angle_alpha 90.00
_cell_angle_beta 105.26
_cell_angle_gamma 90.00
_symmetry_space_group_name_H-M 'P 1'
_symmetry_Int_Tables_number 1
loop_
_symmetry_equiv_pos_as_xyz
'x,y,z'
loop_
_atom_site_label
_atom_site_fract_x
_atom_site_fract_y
_atom_site_fract_z
_atom_site_occupancy
Na1 0.1912 0.2500 0.1758 1
Na2 0.8088 0.7500 0.8242 1
Y1 0.3280 0.7500 0.8572 1
Y2 0.6720 0.2500 0.1428 1
Cd1 0.0792 0.2500 0.6066 1
Cd2 0.9208 0.7500 0.3934 1
Se1 0.0836 0.2500 0.8620 1
Se2 0.2519 0.7500 0.5532 1
Se3 0.4359 0.7500 0.1434 1
Se4 0.5641 0.2500 0.8566 1
Se5 0.7481 0.2500 0.4468 1
Se6 0.9164 0.7500 0.1380 1
# DFT total energy: -4.45 eV/atom
# Size of the total moment: 0.00 μB/f.u.

# NaYCdSe3, optimized geometry, DFT GGA-PBE
data_NaYCdSe3
_cell_length_a 7.2556
_cell_length_b 7.2556
_cell_length_c 11.1122
_cell_angle_alpha 90.00
_cell_angle_beta 90.00
_cell_angle_gamma 146.73
_symmetry_space_group_name_H-M 'P 1'
_symmetry_Int_Tables_number 1
loop_
_symmetry_equiv_pos_as_xyz
'x,y,z'
loop_
_atom_site_label
_atom_site_fract_x
_atom_site_fract_y
_atom_site_fract_z
_atom_site_occupancy
Na1 0.2486 0.7514 0.7500 1
Na2 0.7514 0.2486 0.2500 1
Y1 0.0000 0.0000 0.0000 1
Y2 0.0000 0.0000 0.5000 1
Cd1 0.4641 0.5359 0.2500 1
Cd2 0.5359 0.4641 0.7500 1
Se1 0.0860 0.9140 0.2500 1
Se2 0.3616 0.6384 0.0539 1
Se3 0.3616 0.6384 0.4461 1
Se4 0.6384 0.3616 0.5539 1
Se5 0.6384 0.3616 0.9461 1
Se6 0.9140 0.0860 0.7500 1
# DFT total energy: -4.43 eV/atom
# Size of the total moment: 0.01 μB/f.u.

# NaZrCdSe3, optimized geometry, DFT GGA-PBE
data_NaZrCdSe3
_cell_length_a 7.2422
_cell_length_b 7.2422
_cell_length_c 10.6052
_cell_angle_alpha 90.00
_cell_angle_beta 90.00
_cell_angle_gamma 148.40
_symmetry_space_group_name_H-M 'P 1'
_symmetry_Int_Tables_number 1
loop_
_symmetry_equiv_pos_as_xyz
'x,y,z'
loop_
_atom_site_label
_atom_site_fract_x
_atom_site_fract_y
_atom_site_fract_z
_atom_site_occupancy
Na1 0.2431 0.7569 0.7500 1
Na2 0.7569 0.2431 0.2500 1
Zr1 0.0000 0.0000 0.0000 1
Zr2 0.0000 0.0000 0.5000 1
Cd1 0.4627 0.5373 0.2500 1
Cd2 0.5373 0.4627 0.7500 1
Se1 0.0905 0.9095 0.2500 1
Se2 0.3622 0.6378 0.0430 1
Se3 0.3622 0.6378 0.4570 1
Se4 0.6378 0.3622 0.5430 1
Se5 0.6378 0.3622 0.9570 1
Se6 0.9095 0.0905 0.7500 1
# DFT total energy: -4.43 eV/atom
# Size of the total moment: 0.98 μB/f.u.

# NaZrCdSe3, optimized geometry, DFT GGA-PBE
data_NaZrCdSe3
_cell_length_a 10.6514
_cell_length_b 3.9660
_cell_length_c 13.9764
_cell_angle_alpha 90.00
_cell_angle_beta 90.00
_cell_angle_gamma 90.00
_symmetry_space_group_name_H-M 'P 1'
_symmetry_Int_Tables_number 1
loop_
_symmetry_equiv_pos_as_xyz
'x,y,z'
loop_
_atom_site_label
_atom_site_fract_x
_atom_site_fract_y
_atom_site_fract_z
_atom_site_occupancy
Na1 0.2290 0.2500 0.0089 1
Na2 0.2710 0.7500 0.5089 1
Na3 0.7290 0.2500 0.4911 1
Na4 0.7710 0.7500 0.9911 1
Zr1 0.0169 0.7500 0.7451 1
Zr2 0.4831 0.2500 0.2451 1
Zr3 0.5169 0.7500 0.7549 1
Zr4 0.9831 0.2500 0.2549 1
Cd1 0.2350 0.7500 0.2155 1
Cd2 0.2650 0.2500 0.7155 1
Cd3 0.7350 0.7500 0.2845 1
Cd4 0.7650 0.2500 0.7845 1
Se1 0.0266 0.7500 0.1176 1
Se2 0.0632 0.2500 0.6101 1
Se3 0.2322 0.2500 0.3419 1
Se4 0.2678 0.7500 0.8419 1
Se5 0.4368 0.7500 0.1101 1
Se6 0.4734 0.2500 0.6176 1
Se7 0.5266 0.7500 0.3824 1
Se8 0.5632 0.2500 0.8899 1
Se9 0.7322 0.2500 0.1581 1
Se10 0.7678 0.7500 0.6581 1
Se11 0.9368 0.7500 0.3899 1
Se12 0.9734 0.2500 0.8824 1
# DFT total energy: -4.43 eV/atom
# Size of the total moment: 0.99 μB/f.u.